Entry 1:
An optimized crystal structure of Ca4Pa3MoN8, computed with PBE.

Space-group type: R-3m (166)
E_form (uncorrected) (eV per atom): -1.283
D(E_F) (states/eV per cell): 5.5

a b c (Å): 6.9469 6.9469 6.9469
angles (deg): 59.52 59.52 59.52
With the nearest neighbours (Å) after each atom.
Sites, in units of the cell vectors:
Ca  0.0000  0.0000  0.0000  6 N 2.54
Ca  0.0000  0.5000  0.5000  6 N 2.55-2.57
Ca  0.5000  0.0000  0.5000  6 N 2.55-2.57
Ca  0.5000  0.5000  0.0000  6 N 2.55-2.57
Pa  0.0000  0.0000  0.5000  6 N 2.34-2.35
Pa  0.0000  0.5000  0.0000  6 N 2.34-2.35
Pa  0.5000  0.0000  0.0000  6 N 2.34-2.35
Mo  0.5000  0.5000  0.5000  6 N 2.37
N  0.2353  0.7412  0.7412  2 Pa 2.34, 1 Mo 2.37, 3 Ca 2.54-2.57
N  0.2402  0.2402  0.2402  3 Pa 2.35, 3 Ca 2.55
N  0.2588  0.2588  0.7647  2 Pa 2.34, 1 Mo 2.37, 3 Ca 2.54-2.57
N  0.2588  0.7647  0.2588  2 Pa 2.34, 1 Mo 2.37, 3 Ca 2.54-2.57
N  0.7412  0.2353  0.7412  2 Pa 2.34, 1 Mo 2.37, 3 Ca 2.54-2.57
N  0.7412  0.7412  0.2353  2 Pa 2.34, 1 Mo 2.37, 3 Ca 2.54-2.57
N  0.7598  0.7598  0.7598  3 Pa 2.35, 3 Ca 2.55
N  0.7647  0.2588  0.2588  2 Pa 2.34, 1 Mo 2.37, 3 Ca 2.54-2.57

---

Entry 2:
An optimized crystal structure of Pr2Dy3Tl6, computed with PBE.

Formation energy (eV/atom): 0.154
Space-group type: I4/mmm (139)
D(E_F) (states/eV per cell): 13.4

a b c (Å): 12.1546 12.1546 12.1546
angles (deg): 151.44 151.44 40.84
With the nearest neighbours (Å) after each atom.
Sites, in units of the cell vectors:
Pr  0.0832  0.0832  0.0000  5 Tl 3.02-3.23
Pr  0.9168  0.9168  0.0000  5 Tl 3.02-3.23
Dy  0.3618  0.3618  0.0000  5 Tl 3.12-3.39, 1 Dy 3.15
Dy  0.5000  0.5000  0.0000  2 Dy 3.15, 8 Tl 3.39
Dy  0.6382  0.6382  0.0000  5 Tl 3.12-3.39, 1 Dy 3.15
Tl  0.0691  0.5691  0.5000  2 Pr 3.02, 1 Tl 3.15
Tl  0.2248  0.2248  0.0000  1 Dy 3.12, 1 Pr 3.23
Tl  0.4309  0.9309  0.5000  2 Pr 3.02, 1 Tl 3.15
Tl  0.5691  0.0691  0.5000  2 Pr 3.02, 1 Tl 3.15
Tl  0.7752  0.7752  0.0000  1 Dy 3.12, 1 Pr 3.23
Tl  0.9309  0.4309  0.5000  2 Pr 3.02, 1 Tl 3.15

---

Entry 3:
An optimized crystal structure of ErCoIr, computed with PBE.

Formation energy (eV/atom): -0.459
Space-group type: P-6m2 (187)
D(E_F) (states/eV per cell): 1.9

a b c (Å): 4.0537 4.0537 3.9239
angles (deg): 90.00 90.00 120.00
With the nearest neighbours (Å) after each atom.
Sites, in units of the cell vectors:
Er  0.0000  0.0000  0.0000  6 Co 3.05, 6 Ir 3.05
Co  0.3333  0.6667  0.5000  3 Ir 2.34
Ir  0.6667  0.3333  0.5000  3 Co 2.34

---

Entry 4:
An optimized crystal structure of Ba3NaO, computed with PBE.

ΔE to the lowest computed polymorph (meV/atom): 41
Space-group type: C2/m (12)
E_form (uncorrected) (eV per atom): -0.919
D(E_F) (states/eV per cell): 9.6

a b c (Å): 9.6656 9.6656 8.1962
angles (deg): 105.11 105.11 39.35
With the nearest neighbours (Å) after each atom.
Sites, in units of the cell vectors:
Ba  0.0715  0.0715  0.2824  1 O 2.46
Ba  0.1930  0.1930  0.8371  1 O 2.51
Ba  0.3152  0.3152  0.4740  1 O 2.50
Ba  0.6848  0.6848  0.5260  1 O 2.50
Ba  0.8070  0.8070  0.1629  1 O 2.51
Ba  0.9285  0.9285  0.7176  1 O 2.46
Na  0.4205  0.4205  0.0687  1 Na 3.38
Na  0.5795  0.5795  0.9313  1 Na 3.38
O  0.1861  0.1861  0.5263  3 Ba 2.46-2.51
O  0.8139  0.8139  0.4737  3 Ba 2.46-2.51

---

Entry 5:
An optimized crystal structure of ScInTc, computed with PBE.

ΔE to the lowest computed polymorph (meV/atom): 445
Formation energy (eV/atom): 0.273
Space-group type: F-43m (216)
D(E_F) (states/eV per cell): 20.6

a b c (Å): 6.4314 6.4314 6.4314
angles (deg): 90.00 90.00 90.00
With the nearest neighbours (Å) after each atom.
Sites, in units of the cell vectors:
Sc  0.0000  0.0000  0.0000  4 Tc 2.78
Sc  0.0000  0.5000  0.5000  4 Tc 2.78
Sc  0.5000  0.0000  0.5000  4 Tc 2.78
Sc  0.5000  0.5000  0.0000  4 Tc 2.78
In  0.0000  0.0000  0.5000  4 Tc 2.78
In  0.0000  0.5000  0.0000  4 Tc 2.78
In  0.5000  0.0000  0.0000  4 Tc 2.78
In  0.5000  0.5000  0.5000  4 Tc 2.78
Tc  0.2500  0.2500  0.2500  4 In 2.78, 4 Sc 2.78
Tc  0.2500  0.7500  0.7500  4 In 2.78, 4 Sc 2.78
Tc  0.7500  0.2500  0.7500  4 In 2.78, 4 Sc 2.78
Tc  0.7500  0.7500  0.2500  4 In 2.78, 4 Sc 2.78

---

Entry 6:
An optimized crystal structure of SrCd2In2, computed with PBE.

Formation energy (eV/atom): -0.158
Space-group type: P4/mbm (127)
D(E_F) (states/eV per cell): 3.8

a b c (Å): 8.6929 8.6929 3.7151
angles (deg): 90.00 90.00 90.00
With the nearest neighbours (Å) after each atom.
Sites, in units of the cell vectors:
Sr  0.0000  0.0000  0.0000  4 Cd 3.45, 8 In 3.71, 2 Sr 3.72
Sr  0.5000  0.5000  0.0000  4 Cd 3.45, 8 In 3.71, 2 Sr 3.72
Cd  0.1218  0.3782  0.0000  1 Cd 3.00, 6 In 3.11-3.22
Cd  0.3782  0.8782  0.0000  1 Cd 3.00, 6 In 3.11-3.22
Cd  0.6218  0.1218  0.0000  1 Cd 3.00, 6 In 3.11-3.22
Cd  0.8782  0.6218  0.0000  1 Cd 3.00, 6 In 3.11-3.22
In  0.1756  0.6756  0.5000  6 Cd 3.11-3.22
In  0.3244  0.1756  0.5000  6 Cd 3.11-3.22
In  0.6756  0.8244  0.5000  6 Cd 3.11-3.22
In  0.8244  0.3244  0.5000  6 Cd 3.11-3.22

---

Entry 7:
An optimized crystal structure of AgSI, computed with PBE.

ΔE to the lowest computed polymorph (meV/atom): 124
Space-group type: P1 (1)
E_form (uncorrected) (eV per atom): 0.105
D(E_F) (states/eV per cell): 1.0

a b c (Å): 4.2934 4.3523 5.5794
angles (deg): 103.50 90.11 119.52
With the nearest neighbours (Å) after each atom.
Sites, in units of the cell vectors:
Ag  0.0000  0.0000  0.0000  3 S 2.57
S  0.3522  0.7033  0.1064  1 I 2.53, 3 Ag 2.57
I  0.4453  0.8978  0.5766  1 S 2.53

---

Entry 8:
An optimized crystal structure of CrInHg3, computed with PBE.

ΔE to the lowest computed polymorph (meV/atom): 0
Formation energy (eV/atom): 0.425
Space-group type: Pm-3m (221)
D(E_F) (states/eV per cell): 3.9

a b c (Å): 5.3324 5.3324 5.3324
angles (deg): 90.00 90.00 90.00
With the nearest neighbours (Å) after each atom.
Sites, in units of the cell vectors:
Cr  0.0000  0.0000  0.0000  6 Hg 2.67
In  0.5000  0.5000  0.5000  12 Hg 3.77
Hg  0.0000  0.0000  0.5000  2 Cr 2.67
Hg  0.0000  0.5000  0.0000  2 Cr 2.67
Hg  0.5000  0.0000  0.0000  2 Cr 2.67

---

Which mass density belongs to each record? In order, 7.52, 8.09, 12.44, 3.21, 6.44, 6.41, 5.07, 8.42 g cm⁻³.
Which total magnetic moment belongs to each record? In order, 0.9, 0.0, 1.2, 0.5, 0.4, 0.0, 0.0, 4.2 μB per formula unit.